*A*
# TbThRh | the Alexandria database | PBE-GGA | optimized geometry
# Symmetry: Cmcm, No. 63
# N(E_F) in states/eV/atom: 0.871
data_TbThRh
_chemical_formula_sum 'Tb4 Th4 Rh4'
_space_group_name_H-M_alt 'P 1'
_space_group_IT_number 1
_cell_length_a 3.8092
_cell_length_b 12.0212
_cell_length_c 6.8930
_cell_angle_alpha 90.00
_cell_angle_beta 90.00
_cell_angle_gamma 90.00
loop_
_space_group_symop_operation_xyz
'x,y,z'
loop_
_atom_site_label
_atom_site_fract_x
_atom_site_fract_y
_atom_site_fract_z
Tb1 0.0000 0.0000 0.0000
Tb2 0.0000 0.0000 0.5000
Tb3 0.5000 0.5000 0.0000
Tb4 0.5000 0.5000 0.5000
Th1 0.0000 0.2861 0.2500
Th2 0.0000 0.7139 0.7500
Th3 0.5000 0.2139 0.7500
Th4 0.5000 0.7861 0.2500
Rh1 0.0000 0.3745 0.7500
Rh2 0.0000 0.6255 0.2500
Rh3 0.5000 0.1255 0.2500
Rh4 0.5000 0.8745 0.7500

=====

*B*
# TbThRh | the Alexandria database | PBE-GGA | optimized geometry
# Symmetry: P-1, No. 2
# N(E_F) in states/eV/atom: 0.926
data_TbThRh
_chemical_formula_sum 'Tb2 Th2 Rh2'
_space_group_name_H-M_alt 'P 1'
_space_group_IT_number 1
_cell_length_a 3.9647
_cell_length_b 5.8794
_cell_length_c 7.3434
_cell_angle_alpha 99.19
_cell_angle_beta 105.62
_cell_angle_gamma 90.00
loop_
_space_group_symop_operation_xyz
'x,y,z'
loop_
_atom_site_label
_atom_site_fract_x
_atom_site_fract_y
_atom_site_fract_z
Tb1 0.0778 0.2766 0.1545
Tb2 0.9222 0.7234 0.8455
Th1 0.3462 0.1949 0.6927
Th2 0.6538 0.8051 0.3073
Rh1 0.2716 0.6862 0.5435
Rh2 0.7284 0.3138 0.4565

=====

*C*
# TbThRh | the Alexandria database | PBE-GGA | optimized geometry
# Symmetry: I4mm, No. 107
# N(E_F) in states/eV/atom: 1.195
data_TbThRh
_chemical_formula_sum 'Tb2 Th2 Rh2'
_space_group_name_H-M_alt 'P 1'
_space_group_IT_number 1
_cell_length_a 3.6317
_cell_length_b 3.6317
_cell_length_c 11.2751
_cell_angle_alpha 90.00
_cell_angle_beta 90.00
_cell_angle_gamma 90.00
loop_
_space_group_symop_operation_xyz
'x,y,z'
loop_
_atom_site_label
_atom_site_fract_x
_atom_site_fract_y
_atom_site_fract_z
Tb1 0.0000 0.0000 0.0000
Tb2 0.5000 0.5000 0.5000
Th1 0.0000 0.0000 0.2936
Th2 0.5000 0.5000 0.7936
Rh1 0.0000 0.0000 0.6699
Rh2 0.5000 0.5000 0.1699

=====

Most stable structure: *A*

=====

*A*
# Tb2ThRh3 | the Alexandria database | PBE-GGA | optimized geometry
# Symmetry: P-3m1, No. 164
# N(E_F) in states/eV/atom: 0.303
data_Tb2ThRh3
_chemical_formula_sum 'Tb2 Th1 Rh3'
_space_group_name_H-M_alt 'P 1'
_space_group_IT_number 1
_cell_length_a 4.9348
_cell_length_b 4.9348
_cell_length_c 6.0487
_cell_angle_alpha 90.00
_cell_angle_beta 90.00
_cell_angle_gamma 120.00
loop_
_space_group_symop_operation_xyz
'x,y,z'
loop_
_atom_site_label
_atom_site_fract_x
_atom_site_fract_y
_atom_site_fract_z
Tb1 0.3333 0.6667 0.1556
Tb2 0.6667 0.3333 0.8444
Th1 0.0000 0.0000 0.5000
Rh1 0.0000 0.0000 0.0000
Rh2 0.3333 0.6667 0.6498
Rh3 0.6667 0.3333 0.3502

=====

*B*
# Tb2ThRh3 | the Alexandria database | PBE-GGA | optimized geometry
# Symmetry: C2/c, No. 15
# N(E_F) in states/eV/atom: 0.479
data_Tb2ThRh3
_chemical_formula_sum 'Tb4 Th2 Rh6'
_space_group_name_H-M_alt 'P 1'
_space_group_IT_number 1
_cell_length_a 7.5111
_cell_length_b 7.5111
_cell_length_c 6.9534
_cell_angle_alpha 102.48
_cell_angle_beta 102.48
_cell_angle_gamma 43.98
loop_
_space_group_symop_operation_xyz
'x,y,z'
loop_
_atom_site_label
_atom_site_fract_x
_atom_site_fract_y
_atom_site_fract_z
Tb1 0.0729 0.2814 0.1411
Tb2 0.2814 0.0729 0.6411
Tb3 0.7186 0.9271 0.3589
Tb4 0.9271 0.7186 0.8589
Th1 0.3820 0.6180 0.2500
Th2 0.6180 0.3820 0.7500
Rh1 0.1012 0.8988 0.7500
Rh2 0.2395 0.4438 0.4906
Rh3 0.4438 0.2395 0.9906
Rh4 0.5562 0.7605 0.0094
Rh5 0.7605 0.5562 0.5094
Rh6 0.8988 0.1012 0.2500

=====

Most stable structure: *A*

=====

*A*
# Tb2ThRh | the Alexandria database | PBE-GGA | optimized geometry
# Symmetry: Pnma, No. 62
# N(E_F) in states/eV/atom: 1.138
data_Tb2ThRh
_chemical_formula_sum 'Tb8 Th4 Rh4'
_space_group_name_H-M_alt 'P 1'
_space_group_IT_number 1
_cell_length_a 7.1050
_cell_length_b 9.7667
_cell_length_c 6.4341
_cell_angle_alpha 90.00
_cell_angle_beta 90.00
_cell_angle_gamma 90.00
loop_
_space_group_symop_operation_xyz
'x,y,z'
loop_
_atom_site_label
_atom_site_fract_x
_atom_site_fract_y
_atom_site_fract_z
Tb1 0.1780 0.0651 0.1664
Tb2 0.1780 0.4349 0.1664
Tb3 0.3220 0.5651 0.6664
Tb4 0.3220 0.9349 0.6664
Tb5 0.6780 0.0651 0.3336
Tb6 0.6780 0.4349 0.3336
Tb7 0.8220 0.5651 0.8336
Tb8 0.8220 0.9349 0.8336
Th1 0.0383 0.2500 0.6551
Th2 0.4617 0.7500 0.1551
Th3 0.5383 0.2500 0.8449
Th4 0.9617 0.7500 0.3449
Rh1 0.1278 0.7500 0.9494
Rh2 0.3722 0.2500 0.4494
Rh3 0.6278 0.7500 0.5506
Rh4 0.8722 0.2500 0.0506

=====

*B*
# Tb2ThRh | the Alexandria database | PBE-GGA | optimized geometry
# Symmetry: R-3m, No. 166
# N(E_F) in states/eV/atom: 1.287
data_Tb2ThRh
_chemical_formula_sum 'Tb6 Th3 Rh3'
_space_group_name_H-M_alt 'P 1'
_space_group_IT_number 1
_cell_length_a 3.5630
_cell_length_b 3.5630
_cell_length_c 31.8600
_cell_angle_alpha 90.00
_cell_angle_beta 90.00
_cell_angle_gamma 120.00
loop_
_space_group_symop_operation_xyz
'x,y,z'
loop_
_atom_site_label
_atom_site_fract_x
_atom_site_fract_y
_atom_site_fract_z
Tb1 0.0000 0.0000 0.1091
Tb2 0.0000 0.0000 0.8909
Tb3 0.3333 0.6667 0.5576
Tb4 0.3333 0.6667 0.7758
Tb5 0.6667 0.3333 0.2242
Tb6 0.6667 0.3333 0.4424
Th1 0.0000 0.0000 0.0000
Th2 0.3333 0.6667 0.6667
Th3 0.6667 0.3333 0.3333
Rh1 0.0000 0.0000 0.5000
Rh2 0.3333 0.6667 0.1667
Rh3 0.6667 0.3333 0.8333

=====

Most stable structure: *A*

=====

*A*
# TbTh2Rh2 | the Alexandria database | PBE-GGA | optimized geometry
# Symmetry: P4/mbm, No. 127
# N(E_F) in states/eV/atom: 0.874
data_TbTh2Rh2
_chemical_formula_sum 'Tb2 Th4 Rh4'
_space_group_name_H-M_alt 'P 1'
_space_group_IT_number 1
_cell_length_a 7.8755
_cell_length_b 7.8755
_cell_length_c 3.9016
_cell_angle_alpha 90.00
_cell_angle_beta 90.00
_cell_angle_gamma 90.00
loop_
_space_group_symop_operation_xyz
'x,y,z'
loop_
_atom_site_label
_atom_site_fract_x
_atom_site_fract_y
_atom_site_fract_z
Tb1 0.0000 0.0000 0.0000
Tb2 0.5000 0.5000 0.0000
Th1 0.1674 0.3326 0.5000
Th2 0.3326 0.8326 0.5000
Th3 0.6674 0.1674 0.5000
Th4 0.8326 0.6674 0.5000
Rh1 0.1347 0.6347 0.0000
Rh2 0.3653 0.1347 0.0000
Rh3 0.6347 0.8653 0.0000
Rh4 0.8653 0.3653 0.0000

=====

*B*
# TbTh2Rh2 | the Alexandria database | PBE-GGA | optimized geometry
# Symmetry: Immm, No. 71
# N(E_F) in states/eV/atom: 1.032
data_TbTh2Rh2
_chemical_formula_sum 'Tb2 Th4 Rh4'
_space_group_name_H-M_alt 'P 1'
_space_group_IT_number 1
_cell_length_a 3.8165
_cell_length_b 6.8676
_cell_length_c 9.5804
_cell_angle_alpha 90.00
_cell_angle_beta 90.00
_cell_angle_gamma 90.00
loop_
_space_group_symop_operation_xyz
'x,y,z'
loop_
_atom_site_label
_atom_site_fract_x
_atom_site_fract_y
_atom_site_fract_z
Tb1 0.0000 0.0000 0.0000
Tb2 0.5000 0.5000 0.5000
Th1 0.0000 0.5000 0.1900
Th2 0.0000 0.5000 0.8100
Th3 0.5000 0.0000 0.3100
Th4 0.5000 0.0000 0.6900
Rh1 0.0000 0.2035 0.5000
Rh2 0.0000 0.7965 0.5000
Rh3 0.5000 0.2965 0.0000
Rh4 0.5000 0.7035 0.0000

=====

Most stable structure: *A*

=====

*A*
# Tb2TlRh3 | the Alexandria database | PBE-GGA | optimized geometry
# Symmetry: Immm, No. 71
# N(E_F) in states/eV/atom: 0.567
data_Tb2TlRh3
_chemical_formula_sum 'Tb4 Tl2 Rh6'
_space_group_name_H-M_alt 'P 1'
_space_group_IT_number 1
_cell_length_a 4.7046
_cell_length_b 5.4940
_cell_length_c 9.7537
_cell_angle_alpha 90.00
_cell_angle_beta 90.00
_cell_angle_gamma 90.00
loop_
_space_group_symop_operation_xyz
'x,y,z'
loop_
_atom_site_label
_atom_site_fract_x
_atom_site_fract_y
_atom_site_fract_z
Tb1 0.0000 0.0000 0.1786
Tb2 0.0000 0.0000 0.8214
Tb3 0.5000 0.5000 0.3214
Tb4 0.5000 0.5000 0.6786
Tl1 0.0000 0.0000 0.5000
Tl2 0.5000 0.5000 0.0000
Rh1 0.0000 0.5000 0.1482
Rh2 0.0000 0.5000 0.5000
Rh3 0.0000 0.5000 0.8518
Rh4 0.5000 0.0000 0.0000
Rh5 0.5000 0.0000 0.3518
Rh6 0.5000 0.0000 0.6482

=====

*B*
# Tb2TlRh3 | the Alexandria database | PBE-GGA | optimized geometry
# Symmetry: P-3m1, No. 164
# N(E_F) in states/eV/atom: 0.322
data_Tb2TlRh3
_chemical_formula_sum 'Tb4 Tl2 Rh6'
_space_group_name_H-M_alt 'P 1'
_space_group_IT_number 1
_cell_length_a 4.7859
_cell_length_b 4.7859
_cell_length_c 11.7219
_cell_angle_alpha 90.00
_cell_angle_beta 90.00
_cell_angle_gamma 120.00
loop_
_space_group_symop_operation_xyz
'x,y,z'
loop_
_atom_site_label
_atom_site_fract_x
_atom_site_fract_y
_atom_site_fract_z
Tb1 0.0000 0.0000 0.0000
Tb2 0.0000 0.0000 0.5000
Tb3 0.3333 0.6667 0.1786
Tb4 0.6667 0.3333 0.8214
Tl1 0.3333 0.6667 0.6660
Tl2 0.6667 0.3333 0.3340
Rh1 0.0000 0.0000 0.2479
Rh2 0.0000 0.0000 0.7521
Rh3 0.3333 0.6667 0.4219
Rh4 0.3333 0.6667 0.9182
Rh5 0.6667 0.3333 0.0818
Rh6 0.6667 0.3333 0.5781

=====

Most stable structure: *B*

=====

*A*
# Tb7Tl2Rh2 | the Alexandria database | PBE-GGA | optimized geometry
# Symmetry: Imm2, No. 44
# N(E_F) in states/eV/atom: 0.944
data_Tb7Tl2Rh2
_chemical_formula_sum 'Tb7 Tl2 Rh2'
_space_group_name_H-M_alt 'P 1'
_space_group_IT_number 1
_cell_length_a 9.6444
_cell_length_b 9.6444
_cell_length_c 9.6444
_cell_angle_alpha 156.52
_cell_angle_beta 65.33
_cell_angle_gamma 120.02
loop_
_space_group_symop_operation_xyz
'x,y,z'
loop_
_atom_site_label
_atom_site_fract_x
_atom_site_fract_y
_atom_site_fract_z
Tb1 0.0000 0.0000 0.0000
Tb2 0.0511 0.3820 0.6691
Tb3 0.1661 0.7809 0.3852
Tb4 0.3956 0.7809 0.6148
Tb5 0.5075 0.6065 0.9010
Tb6 0.7054 0.6065 0.0990
Tb7 0.7128 0.3820 0.3309
Tl1 0.3378 0.0962 0.2416
Tl2 0.8545 0.0962 0.7584
Rh1 0.3503 0.3503 0.0000
Rh2 0.7827 0.2827 0.5000

=====

*B*
# Tb7Tl2Rh2 | the Alexandria database | PBE-GGA | optimized geometry
# Symmetry: Cmmm, No. 65
# N(E_F) in states/eV/atom: 0.969
data_Tb7Tl2Rh2
_chemical_formula_sum 'Tb7 Tl2 Rh2'
_space_group_name_H-M_alt 'P 1'
_space_group_IT_number 1
_cell_length_a 6.8617
_cell_length_b 6.8617
_cell_length_c 7.1457
_cell_angle_alpha 90.00
_cell_angle_beta 90.00
_cell_angle_gamma 107.24
loop_
_space_group_symop_operation_xyz
'x,y,z'
loop_
_atom_site_label
_atom_site_fract_x
_atom_site_fract_y
_atom_site_fract_z
Tb1 0.0000 0.0000 0.0000
Tb2 0.0000 0.5000 0.2482
Tb3 0.0000 0.5000 0.7518
Tb4 0.5000 0.0000 0.2482
Tb5 0.5000 0.0000 0.7518
Tb6 0.5000 0.5000 0.2401
Tb7 0.5000 0.5000 0.7599
Tl1 0.1819 0.1819 0.5000
Tl2 0.8181 0.8181 0.5000
Rh1 0.2888 0.7112 0.0000
Rh2 0.7112 0.2888 0.0000

=====

Most stable structure: *A*

=====

*A*
# Tb2TlRh | the Alexandria database | PBE-GGA | optimized geometry
# Symmetry: R-3m, No. 166
# N(E_F) in states/eV/atom: 0.550
data_Tb2TlRh
_chemical_formula_sum 'Tb6 Tl3 Rh3'
_space_group_name_H-M_alt 'P 1'
_space_group_IT_number 1
_cell_length_a 3.9013
_cell_length_b 3.9013
_cell_length_c 24.4951
_cell_angle_alpha 90.00
_cell_angle_beta 90.00
_cell_angle_gamma 120.00
loop_
_space_group_symop_operation_xyz
'x,y,z'
loop_
_atom_site_label
_atom_site_fract_x
_atom_site_fract_y
_atom_site_fract_z
Tb1 0.0000 0.0000 0.2331
Tb2 0.0000 0.0000 0.7669
Tb3 0.3333 0.6667 0.4336
Tb4 0.3333 0.6667 0.8997
Tb5 0.6667 0.3333 0.1003
Tb6 0.6667 0.3333 0.5664
Tl1 0.0000 0.0000 0.0000
Tl2 0.3333 0.6667 0.6667
Tl3 0.6667 0.3333 0.3333
Rh1 0.0000 0.0000 0.5000
Rh2 0.3333 0.6667 0.1667
Rh3 0.6667 0.3333 0.8333

=====

*B*
# Tb2TlRh | the Alexandria database | PBE-GGA | optimized geometry
# Symmetry: Fm-3m, No. 225
# N(E_F) in states/eV/atom: 0.555
data_Tb2TlRh
_chemical_formula_sum 'Tb8 Tl4 Rh4'
_space_group_name_H-M_alt 'P 1'
_space_group_IT_number 1
_cell_length_a 7.2651
_cell_length_b 7.2651
_cell_length_c 7.2651
_cell_angle_alpha 90.00
_cell_angle_beta 90.00
_cell_angle_gamma 90.00
loop_
_space_group_symop_operation_xyz
'x,y,z'
loop_
_atom_site_label
_atom_site_fract_x
_atom_site_fract_y
_atom_site_fract_z
Tb1 0.2500 0.2500 0.2500
Tb2 0.2500 0.2500 0.7500
Tb3 0.2500 0.7500 0.2500
Tb4 0.2500 0.7500 0.7500
Tb5 0.7500 0.2500 0.2500
Tb6 0.7500 0.2500 0.7500
Tb7 0.7500 0.7500 0.2500
Tb8 0.7500 0.7500 0.7500
Tl1 0.0000 0.0000 0.0000
Tl2 0.0000 0.5000 0.5000
Tl3 0.5000 0.0000 0.5000
Tl4 0.5000 0.5000 0.0000
Rh1 0.0000 0.0000 0.5000
Rh2 0.0000 0.5000 0.0000
Rh3 0.5000 0.0000 0.0000
Rh4 0.5000 0.5000 0.5000

=====

*C*
# Tb2TlRh | the Alexandria database | PBE-GGA | optimized geometry
# Symmetry: Cm, No. 8
# N(E_F) in states/eV/atom: 0.542
data_Tb2TlRh
_chemical_formula_sum 'Tb4 Tl2 Rh2'
_space_group_name_H-M_alt 'P 1'
_space_group_IT_number 1
_cell_length_a 6.8178
_cell_length_b 3.9268
_cell_length_c 8.4922
_cell_angle_alpha 90.00
_cell_angle_beta 105.82
_cell_angle_gamma 90.00
loop_
_space_group_symop_operation_xyz
'x,y,z'
loop_
_atom_site_label
_atom_site_fract_x
_atom_site_fract_y
_atom_site_fract_z
Tb1 0.0000 0.0000 0.0000
Tb2 0.2021 0.0000 0.6102
Tb3 0.5000 0.5000 0.0000
Tb4 0.7021 0.5000 0.6102
Tl1 0.2691 0.5000 0.3050
Tl2 0.7691 0.0000 0.3050
Rh1 0.1018 0.5000 0.8068
Rh2 0.6018 0.0000 0.8068

=====

*D*
# Tb2TlRh | the Alexandria database | PBE-GGA | optimized geometry
# Symmetry: P4/mmm, No. 123
# N(E_F) in states/eV/atom: 0.537
data_Tb2TlRh
_chemical_formula_sum 'Tb2 Tl1 Rh1'
_space_group_name_H-M_alt 'P 1'
_space_group_IT_number 1
_cell_length_a 3.5458
_cell_length_b 3.5458
_cell_length_c 7.6593
_cell_angle_alpha 90.00
_cell_angle_beta 90.00
_cell_angle_gamma 90.00
loop_
_space_group_symop_operation_xyz
'x,y,z'
loop_
_atom_site_label
_atom_site_fract_x
_atom_site_fract_y
_atom_site_fract_z
Tb1 0.0000 0.0000 0.2149
Tb2 0.0000 0.0000 0.7851
Tl1 0.5000 0.5000 0.5000
Rh1 0.5000 0.5000 0.0000

=====

Most stable structure: *D*

=====

*A*
# Tb8Tl2Rh3 | the Alexandria database | PBE-GGA | optimized geometry
# Symmetry: P2/m, No. 10
# N(E_F) in states/eV/atom: 0.843
data_Tb8Tl2Rh3
_chemical_formula_sum 'Tb8 Tl2 Rh3'
_space_group_name_H-M_alt 'P 1'
_space_group_IT_number 1
_cell_length_a 8.8837
_cell_length_b 4.9413
_cell_length_c 8.8915
_cell_angle_alpha 90.00
_cell_angle_beta 112.22
_cell_angle_gamma 90.00
loop_
_space_group_symop_operation_xyz
'x,y,z'
loop_
_atom_site_label
_atom_site_fract_x
_atom_site_fract_y
_atom_site_fract_z
Tb1 0.1111 0.0000 0.3885
Tb2 0.1419 0.5000 0.8675
Tb3 0.3672 0.5000 0.6421
Tb4 0.3859 0.0000 0.1142
Tb5 0.6141 0.0000 0.8858
Tb6 0.6328 0.5000 0.3579
Tb7 0.8581 0.5000 0.1325
Tb8 0.8889 0.0000 0.6115
Tl1 0.2437 0.5000 0.2573
Tl2 0.7563 0.5000 0.7427
Rh1 0.2490 0.0000 0.7493
Rh2 0.5000 0.5000 0.0000
Rh3 0.7510 0.0000 0.2507

=====

*B*
# Tb8Tl2Rh3 | the Alexandria database | PBE-GGA | optimized geometry
# Symmetry: C2/m, No. 12
# N(E_F) in states/eV/atom: 0.859
data_Tb8Tl2Rh3
_chemical_formula_sum 'Tb8 Tl2 Rh3'
_space_group_name_H-M_alt 'P 1'
_space_group_IT_number 1
_cell_length_a 8.7679
_cell_length_b 8.7679
_cell_length_c 6.6816
_cell_angle_alpha 100.80
_cell_angle_beta 100.80
_cell_angle_gamma 50.14
loop_
_space_group_symop_operation_xyz
'x,y,z'
loop_
_atom_site_label
_atom_site_fract_x
_atom_site_fract_y
_atom_site_fract_z
Tb1 0.0861 0.0861 0.3746
Tb2 0.1481 0.6462 0.1243
Tb3 0.3538 0.8519 0.8757
Tb4 0.3669 0.3669 0.6235
Tb5 0.6331 0.6331 0.3765
Tb6 0.6462 0.1481 0.1243
Tb7 0.8519 0.3538 0.8757
Tb8 0.9139 0.9139 0.6254
Tl1 0.2423 0.2423 0.1680
Tl2 0.7577 0.7577 0.8320
Rh1 0.2942 0.7058 0.5000
Rh2 0.5000 0.5000 0.0000
Rh3 0.7058 0.2942 0.5000

=====

Most stable structure: *A*